An optimized crystal structure of CsHgAs, computed with PBE.

Structure (extended XYZ):
```
6
Lattice="-1.064 2.723 5.456 1.459 -6.517 1.136 5.426 2.387 1.299" Properties=species:S:1:pos:R:3 pbc="T T T"
As 4.080 -1.369 1.908
As 1.742 -0.038 5.982
Cs 0.198 -1.897 3.296
Cs 2.181 2.555 3.377
Hg 4.522 3.648 6.343
Hg 1.300 -5.056 1.547
```

Properties
Crystal system: triclinic
Density of states at the Fermi level, states/eV per cell: 4.10
Calculated formation energy, eV per formula unit: -0.7
M_tot, μB/cell: 0.00